## La2Pr3Nd (PBE-GGA)

Data for an optimized crystal structure of La2Pr3Nd.

- Energy of formation: 44 meV per atom
- Energy relative to the lowest polymorph listed for this composition: 35 meV per atom

a = 5.9112 Å, b = 10.1902 Å, c = 7.1979 Å
α = 90.00°, β = 90.00°, γ = 90.00°
Closest atoms and distances in Å follow each position.
Sites, in units of the cell vectors:
La (0.5000, 0.8324, 0.2502)  5 Pr 3.40-3.60
La (0.0000, 0.3324, 0.2498)  5 Pr 3.40-3.60
La (0.0000, 0.6676, 0.7502)  5 Pr 3.40-3.60
La (0.5000, 0.1676, 0.7498)  5 Pr 3.40-3.60
Pr (0.0000, 0.0000, 0.0000)  2 Nd 3.60, 6 La 3.83-3.86, 6 Pr 3.84-3.86
Pr (0.5000, 0.5000, 0.5000)  2 Nd 3.60, 6 La 3.83-3.86, 6 Pr 3.84-3.86
Pr (0.5000, 0.8327, 0.7501)  5 La 3.40-3.60
Pr (0.5000, 0.1673, 0.2499)  5 La 3.40-3.60
Pr (0.0000, 0.3327, 0.7499)  5 La 3.40-3.60
Pr (0.0000, 0.6673, 0.2501)  5 La 3.40-3.60
Nd (0.0000, 0.0000, 0.5000)  8 Pr 3.60-3.86, 6 La 3.84-3.86
Nd (0.5000, 0.5000, 0.0000)  8 Pr 3.60-3.86, 6 La 3.84-3.86

---

## Y2ZrRu (PBE-GGA)

Data for an optimized crystal structure of Y2ZrRu.

- Energy of formation: 48 meV per atom
- Energy relative to the lowest polymorph listed for this composition: 288 meV per atom

a = 4.5674 Å, b = 3.4127 Å, c = 6.2993 Å
α = 72.29°, β = 90.00°, γ = 90.00°
Closest atoms and distances in Å follow each position.
Sites, in units of the cell vectors:
Ru (0.5000, 0.7500, 0.7500)  4 Y 2.85, 2 Zr 3.09
Y (0.0000, 0.9162, 0.9786)  2 Ru 2.85, 1 Y 3.08
Y (0.0000, 0.5838, 0.5214)  2 Ru 2.85, 1 Y 3.08
Zr (0.5000, 0.2500, 0.2500)  2 Ru 3.09, 8 Y 3.26-3.31, 2 Zr 3.41

---

## PrHo2TmHg4 (PBE-GGA)

Data for an optimized crystal structure of PrHo2TmHg4.

- Energy of formation: -464 meV per atom

a = 5.2690 Å, b = 5.2690 Å, c = 9.2341 Å
α = 73.42°, β = 73.42°, γ = 60.00°
Closest atoms and distances in Å follow each position.
Sites, in units of the cell vectors:
Pr (0.0000, 0.0000, 0.0000)  8 Hg 3.27-3.34
Ho (0.7514, 0.7514, 0.7459)  8 Hg 3.16-3.42
Ho (0.2486, 0.2486, 0.2541)  8 Hg 3.16-3.42
Tm (0.5000, 0.5000, 0.5000)  8 Hg 3.16-3.21
Hg (0.3793, 0.3793, 0.8622)  1 Tm 3.16, 4 Ho 3.21-3.42, 3 Pr 3.27
Hg (0.8723, 0.8723, 0.3832)  4 Ho 3.16-3.24, 3 Tm 3.21, 1 Pr 3.34
Hg (0.1277, 0.1277, 0.6168)  4 Ho 3.16-3.24, 3 Tm 3.21, 1 Pr 3.34
Hg (0.6207, 0.6207, 0.1378)  1 Tm 3.16, 4 Ho 3.21-3.42, 3 Pr 3.27

---

## CsHIF7 (PBE-GGA)

Data for an optimized crystal structure of CsHIF7.

- Raw total energy: -3.82 eV/atom

a = 5.4789 Å, b = 8.3837 Å, c = 8.7002 Å
α = 109.54°, β = 108.35°, γ = 91.35°
Closest atoms and distances in Å follow each position.
Sites, in units of the cell vectors:
Cs (0.8458, 0.1672, 0.7704)  9 F 3.02-3.37, 1 H 3.17
Cs (0.1542, 0.8328, 0.2296)  9 F 3.02-3.37, 1 H 3.17
H (0.8131, 0.7741, 0.4452)  1 F 1.02
H (0.1869, 0.2259, 0.5548)  1 F 1.02
I (0.7065, 0.3486, 0.2613)  5 F 1.90-1.98
I (0.2935, 0.6514, 0.7387)  5 F 1.90-1.98
F (0.7310, 0.8733, 0.4181)  1 H 1.02
F (0.2690, 0.1267, 0.5819)  1 H 1.02
F (0.9387, 0.6425, 0.4699)  1 H 1.36
F (0.0613, 0.3575, 0.5301)  1 H 1.36
F (0.5449, 0.1910, 0.3352)  1 I 1.95
F (0.4551, 0.8090, 0.6648)  1 I 1.95
F (0.9016, 0.1680, 0.1681)  1 I 1.97
F (0.0984, 0.8320, 0.8319)  1 I 1.97
F (0.7887, 0.4595, 0.1121)  1 I 1.98
F (0.2113, 0.5405, 0.8879)  1 I 1.98
F (0.4220, 0.4832, 0.2792)  1 I 1.96
F (0.5780, 0.5168, 0.7208)  1 I 1.96
F (0.4474, 0.2192, 0.0445)  1 I 1.90
F (0.5526, 0.7808, 0.9555)  1 I 1.90

---

## AcCePmGa (PBE-GGA)

Data for an optimized crystal structure of AcCePmGa.

- Energy of formation: 41 meV per atom

a = 5.5260 Å, b = 5.5260 Å, c = 5.5260 Å
α = 60.00°, β = 60.00°, γ = 60.00°
Closest atoms and distances in Å follow each position.
Sites, in units of the cell vectors:
Ac (0.5000, 0.5000, 0.5000)  4 Ce 3.38, 4 Pm 3.38
Ga (0.0000, 0.0000, 0.0000)  4 Pm 3.38, 4 Ce 3.38
Ce (0.2500, 0.2500, 0.2500)  4 Ga 3.38, 4 Ac 3.38
Pm (0.7500, 0.7500, 0.7500)  4 Ac 3.38, 4 Ga 3.38

---

## Ce4SiCl4 (PBE-GGA)

Data for an optimized crystal structure of Ce4SiCl4.

- Energy relative to the lowest polymorph listed for this composition: 0 meV per atom
- Raw formation energy: -11.50 eV/f.u.

a = 5.7011 Å, b = 6.9859 Å, c = 6.9881 Å
α = 80.34°, β = 65.81°, γ = 65.78°
Closest atoms and distances in Å follow each position.
Sites, in units of the cell vectors:
Ce (0.9069, 0.3956, 0.7900)  1 Si 2.85, 5 Cl 2.86-2.92
Ce (0.0931, 0.6044, 0.2100)  1 Si 2.85, 5 Cl 2.86-2.92
Ce (0.3031, 0.7898, 0.6046)  1 Si 2.85, 5 Cl 2.86-2.92
Ce (0.6969, 0.2102, 0.3954)  1 Si 2.85, 5 Cl 2.86-2.92
Si (0.0000, 0.0000, 0.0000)  4 Ce 2.85
Cl (0.6032, 0.6119, 0.1824)  5 Ce 2.86-2.92
Cl (0.3968, 0.3881, 0.8176)  5 Ce 2.86-2.92
Cl (0.2144, 0.1824, 0.3884)  5 Ce 2.86-2.92
Cl (0.7856, 0.8176, 0.6116)  5 Ce 2.86-2.92

---

## SmMgScTi (PBE-GGA)

Data for an optimized crystal structure of SmMgScTi.

- Energy of formation: 154 meV per atom

a = 5.1571 Å, b = 5.1571 Å, c = 5.1571 Å
α = 60.00°, β = 60.00°, γ = 60.00°
Closest atoms and distances in Å follow each position.
Sites, in units of the cell vectors:
Sc (0.5000, 0.5000, 0.5000)  4 Mg 3.16, 4 Ti 3.16
Mg (0.7500, 0.7500, 0.7500)  4 Sc 3.16, 4 Sm 3.16
Sm (0.0000, 0.0000, 0.0000)  4 Ti 3.16, 4 Mg 3.16
Ti (0.2500, 0.2500, 0.2500)  4 Sm 3.16, 4 Sc 3.16

---

## Pr12Ag6N (PBE-GGA)

Data for an optimized crystal structure of Pr12Ag6N.

- Raw formation energy: -3.74 eV/f.u.

a = 8.3244 Å, b = 8.3244 Å, c = 8.3244 Å
α = 94.75°, β = 94.75°, γ = 94.75°
Closest atoms and distances in Å follow each position.
Sites, in units of the cell vectors:
Pr (0.8073, 0.5803, 0.4631)  4 Ag 3.07-3.28
Pr (0.4631, 0.8073, 0.5803)  4 Ag 3.07-3.28
Pr (0.5803, 0.4631, 0.8073)  4 Ag 3.07-3.28
Pr (0.1927, 0.4197, 0.5369)  4 Ag 3.07-3.28
Pr (0.5369, 0.1927, 0.4197)  4 Ag 3.07-3.28
Pr (0.4197, 0.5369, 0.1927)  4 Ag 3.07-3.28
Pr (0.9624, 0.0784, 0.2940)  1 N 2.53
Pr (0.9216, 0.7060, 0.0376)  1 N 2.53
Pr (0.7060, 0.0376, 0.9216)  1 N 2.53
Pr (0.0376, 0.9216, 0.7060)  1 N 2.53
Pr (0.0784, 0.2940, 0.9624)  1 N 2.53
Pr (0.2940, 0.9624, 0.0784)  1 N 2.53
Ag (0.6450, 0.8516, 0.2544)  8 Pr 3.07-3.39
Ag (0.7456, 0.3550, 0.1484)  8 Pr 3.07-3.39
Ag (0.1484, 0.7456, 0.3550)  8 Pr 3.07-3.39
Ag (0.3550, 0.1484, 0.7456)  8 Pr 3.07-3.39
Ag (0.2544, 0.6450, 0.8516)  8 Pr 3.07-3.39
Ag (0.8516, 0.2544, 0.6450)  8 Pr 3.07-3.39
N (0.0000, 0.0000, 0.0000)  6 Pr 2.53

---

## CeTmMgCd (PBE-GGA)

Data for an optimized crystal structure of CeTmMgCd.

- Energy of formation: -94 meV per atom

a = 5.3393 Å, b = 5.3393 Å, c = 5.3393 Å
α = 60.00°, β = 60.00°, γ = 60.00°
Closest atoms and distances in Å follow each position.
Sites, in units of the cell vectors:
Mg (0.0000, 0.0000, 0.0000)  4 Tm 3.27, 4 Ce 3.27
Tm (0.7500, 0.7500, 0.7500)  4 Mg 3.27, 4 Cd 3.27
Ce (0.2500, 0.2500, 0.2500)  4 Mg 3.27, 4 Cd 3.27
Cd (0.5000, 0.5000, 0.5000)  4 Ce 3.27, 4 Tm 3.27

---

## BePtS2 (PBE-GGA)

Data for an optimized crystal structure of BePtS2.

- Raw formation energy: -0.91 eV/f.u.

a = 7.2822 Å, b = 7.2822 Å, c = 7.2822 Å
α = 24.71°, β = 24.71°, γ = 24.71°
Closest atoms and distances in Å follow each position.
Sites, in units of the cell vectors:
Be (0.5000, 0.5000, 0.5000)  6 S 2.20
S (0.8930, 0.8930, 0.8930)  3 Be 2.20, 1 Pt 2.26
S (0.1070, 0.1070, 0.1070)  3 Be 2.20, 1 Pt 2.26
Pt (0.0000, 0.0000, 0.0000)  2 S 2.26

---

## K2ScRh (PBE-GGA)

Data for an optimized crystal structure of K2ScRh.

- Energy of formation: 507 meV per atom
- Energy relative to the lowest polymorph listed for this composition: 545 meV per atom

a = 6.7195 Å, b = 6.7195 Å, c = 6.7195 Å
α = 143.88°, β = 143.88°, γ = 52.00°
Closest atoms and distances in Å follow each position.
Sites, in units of the cell vectors:
K (0.0000, 0.0000, 0.0000)  4 K 2.95
K (0.5000, 0.5000, 0.0000)  4 K 2.95
Rh (0.2500, 0.7500, 0.5000)  4 Sc 2.95
Sc (0.7500, 0.2500, 0.5000)  4 Rh 2.95

---

## KPuHg2 (PBE-GGA)

Data for an optimized crystal structure of KPuHg2.

- Energy of formation: 24 meV per atom
- Energy relative to the lowest polymorph listed for this composition: 138 meV per atom

a = 3.7026 Å, b = 3.7026 Å, c = 10.8101 Å
α = 80.14°, β = 80.14°, γ = 60.00°
Closest atoms and distances in Å follow each position.
Sites, in units of the cell vectors:
K (0.5000, 0.5000, 0.5000)  6 Hg 3.55, 6 K 3.70
Hg (0.7442, 0.7442, 0.7673)  3 Pu 3.26, 3 K 3.55
Hg (0.2558, 0.2558, 0.2327)  3 Pu 3.26, 3 K 3.55
Pu (0.0000, 0.0000, 0.0000)  6 Hg 3.26